Record 1
{
  "formula": "Pm2Zn3InCu12",
  "functional": "PBE",
  "state": "relaxed",
  "delta_e_f_ev_per_atom": 0.0799,
  "sg": "R-3m",
  "cell": [[3.180, 1.836, 8.935], [-3.180, 1.836, 8.935], [0.000, -3.672, 8.935]],
  "species": ["Pm", "Pm", "Zn", "Zn", "Zn", "In", "Cu", "Cu", "Cu", "Cu", "Cu", "Cu", "Cu", "Cu", "Cu", "Cu", "Cu", "Cu"],
  "fractional_positions": [[0.140, 0.140, 0.140], [0.860, 0.860, 0.860], [0.000, 0.500, 0.500], [0.500, 0.000, 0.500], [0.500, 0.500, 0.000], [0.500, 0.500, 0.500], [0.043, 0.625, 0.625], [0.083, 0.083, 0.705], [0.083, 0.705, 0.083], [0.295, 0.917, 0.917], [0.375, 0.375, 0.957], [0.375, 0.957, 0.375], [0.625, 0.043, 0.625], [0.625, 0.625, 0.043], [0.705, 0.083, 0.083], [0.917, 0.295, 0.917], [0.917, 0.917, 0.295], [0.957, 0.375, 0.375]]
}

=====

Record 2
{
  "formula": "P2PtBrO",
  "functional": "PBE",
  "state": "relaxed",
  "de_polymorph_mev_per_atom": 657,
  "sg": "P4/mmm",
  "cell": [[4.868, 0.000, 0.000], [0.000, 4.868, 0.000], [0.000, 0.000, 3.553]],
  "species": ["P", "P", "Pt", "Br", "O"],
  "fractional_positions": [[0.000, 0.500, 0.000], [0.500, 0.000, 0.000], [0.000, 0.000, 0.500], [0.500, 0.500, 0.000], [0.500, 0.500, 0.500]]
}

=====

Record 3
{
  "formula": "Er2Al3GaPt4",
  "functional": "PBE",
  "state": "relaxed",
  "delta_e_f_ev_per_atom": -1.0782,
  "sg": "P-4m2",
  "cell": [[4.093, 0.000, 0.000], [0.000, 4.093, 0.000], [0.000, 0.000, 10.945]],
  "species": ["Er", "Er", "Al", "Al", "Al", "Ga", "Pt", "Pt", "Pt", "Pt"],
  "fractional_positions": [[0.000, 0.500, 0.244], [0.500, 0.000, 0.756], [0.000, 0.000, 0.000], [0.000, 0.500, 0.632], [0.500, 0.000, 0.368], [0.500, 0.500, 0.000], [0.000, 0.000, 0.500], [0.000, 0.500, 0.857], [0.500, 0.000, 0.143], [0.500, 0.500, 0.500]]
}

=====

Record 4
{
  "formula": "Tb4Ho15Er",
  "functional": "PBE",
  "state": "relaxed",
  "delta_e_f_ev_per_atom": 0.0193,
  "sg": "P4/mmm",
  "cell": [[4.982, 0.000, 0.000], [0.000, 4.982, 0.000], [0.000, 0.000, 24.902]],
  "species": ["Tb", "Tb", "Tb", "Tb", "Ho", "Ho", "Ho", "Ho", "Ho", "Ho", "Ho", "Ho", "Ho", "Ho", "Ho", "Ho", "Ho", "Ho", "Ho", "Er"],
  "fractional_positions": [[0.000, 0.000, 0.100], [0.000, 0.000, 0.300], [0.000, 0.000, 0.700], [0.000, 0.000, 0.900], [0.000, 0.500, 0.000], [0.000, 0.500, 0.200], [0.000, 0.500, 0.401], [0.000, 0.500, 0.599], [0.000, 0.500, 0.800], [0.500, 0.000, 0.000], [0.500, 0.000, 0.200], [0.500, 0.000, 0.401], [0.500, 0.000, 0.599], [0.500, 0.000, 0.800], [0.500, 0.500, 0.100], [0.500, 0.500, 0.300], [0.500, 0.500, 0.500], [0.500, 0.500, 0.700], [0.500, 0.500, 0.900], [0.000, 0.000, 0.500]]
}